First-principles (PBE) data for an optimized crystal structure of Ba2SbRh3O12, as listed in the Alexandria database.

Calculated values
Formation energy from raw total energies = -1235 meV/atom
Theoretical density = 5.7 g/cm3
Uncorrected energy = -335.3 eV/cell

Lattice parameters (Å, degrees): 7.1072 7.1072 17.8493 90.00 90.00 120.00
Space group R-3m (No. 166, hexagonal axes)
Inequivalent atoms, fractional coordinates:
Ba1 0.0000 0.0000 0.1218 (multiplicity 6)
Sb1 0.0000 0.0000 0.5000 (multiplicity 3)
Rh1 0.0000 0.5000 0.0000 (multiplicity 9)
O1 0.0481 0.5240 0.1116 (multiplicity 18)
O2 0.0586 0.5293 0.3534 (multiplicity 18)